A plane-wave DFT calculation with PBE was carried out for a relaxed structure of Sm4AsPbS2.

Symmetry   No. 10
VASP energy   -5.92 eV per atom
ρ   7.50 g cm⁻³
Formation energy from raw total energies   -1485 meV/atom

a b c (Å): 4.182 7.261 7.329
angles (deg): 70.53 90.00 90.00
Element x y z (fractional)
Sm: 0.000 0.767 0.733
Sm: 0.000 0.233 0.267
Sm: 0.500 0.757 0.257
Sm: 0.500 0.243 0.743
As: 0.000 0.500 0.500
Pb: 0.500 0.500 0.000
S: 0.000 0.000 0.000
S: 0.500 0.000 0.500

A plane-wave DFT calculation with PBE was carried out for a relaxed structure of SrAs2PbS.

Symmetry   No. 123
VASP energy   -2.67 eV per atom
ρ   3.89 g cm⁻³
Formation energy from raw total energies   1092 meV/atom

a b c (Å): 5.513 6.701 5.513
angles (deg): 90.00 90.00 90.00
Each line ends with the local moment (μB).
Element x y z (fractional)
Pb: 0.000 0.500 0.000  -0.17
Sr: 0.000 0.000 0.000  -0.01
As: 0.000 0.000 0.500  0.25
As: 0.500 0.000 0.000  0.18
S: 0.500 0.500 0.500  0.65

A plane-wave DFT calculation with PBE was carried out for a relaxed structure of Tb6As3PbS2.

Symmetry   No. 12
VASP energy   -5.98 eV per atom
ρ   8.03 g cm⁻³
Formation energy from raw total energies   -1507 meV/atom

a b c (Å): 4.101 8.339 9.229
angles (deg): 102.75 102.84 90.00
Element x y z (fractional)
Tb: 0.327 0.913 0.654
Tb: 0.667 0.585 0.335
Tb: 0.673 0.087 0.346
Tb: 0.003 0.267 0.005
Tb: 0.997 0.733 0.995
Tb: 0.333 0.415 0.665
As: 0.500 0.500 0.000
As: 0.835 0.169 0.669
As: 0.165 0.831 0.331
Pb: 0.500 0.000 0.000
S: 0.830 0.660 0.659
S: 0.170 0.340 0.341

A plane-wave DFT calculation with PBE was carried out for a relaxed structure of Tb3AsPbS.

Symmetry   No. 11
VASP energy   -5.68 eV per atom
ρ   8.10 g cm⁻³
Formation energy from raw total energies   -1289 meV/atom

a b c (Å): 4.124 7.276 11.073
angles (deg): 102.63 90.00 90.00
Element x y z (fractional)
Tb: 0.250 0.758 0.493
Tb: 0.750 0.044 0.156
Tb: 0.750 0.558 0.163
Tb: 0.750 0.242 0.507
Tb: 0.250 0.442 0.837
Tb: 0.250 0.956 0.844
As: 0.250 0.766 0.054
As: 0.750 0.234 0.946
Pb: 0.750 0.648 0.689
Pb: 0.250 0.352 0.311
S: 0.250 0.125 0.637
S: 0.750 0.875 0.363

A plane-wave DFT calculation with PBE was carried out for a relaxed structure of Tm4AsPbS2.

Symmetry   No. 10
VASP energy   -5.71 eV per atom
ρ   9.04 g cm⁻³
Formation energy from raw total energies   -1395 meV/atom

a b c (Å): 3.975 7.034 7.104
angles (deg): 70.88 90.00 90.00
Element x y z (fractional)
Tm: 0.000 0.770 0.729
Tm: 0.000 0.230 0.271
Tm: 0.500 0.758 0.257
Tm: 0.500 0.242 0.743
As: 0.000 0.500 0.500
Pb: 0.500 0.500 0.000
S: 0.000 0.000 0.000
S: 0.500 0.000 0.500

A plane-wave DFT calculation with PBE was carried out for a relaxed structure of Tm4AsPb2S.

Symmetry   No. 10
VASP energy   -5.31 eV per atom
ρ   9.78 g cm⁻³
Formation energy from raw total energies   -1054 meV/atom

a b c (Å): 3.917 8.084 6.700
angles (deg): 73.39 90.00 90.00
Element x y z (fractional)
Tm: 0.000 0.703 0.769
Tm: 0.000 0.297 0.231
Tm: 0.500 0.706 0.259
Tm: 0.500 0.294 0.741
As: 0.000 0.500 0.500
Pb: 0.000 0.000 0.000
Pb: 0.500 0.000 0.500
S: 0.500 0.500 0.000

A plane-wave DFT calculation with PBE was carried out for a relaxed structure of Tm3AsPbS.

Symmetry   No. 11
VASP energy   -5.40 eV per atom
ρ   7.51 g cm⁻³
Formation energy from raw total energies   -1086 meV/atom

a b c (Å): 4.024 8.799 10.275
angles (deg): 94.08 90.00 90.00
Element x y z (fractional)
Tm: 0.250 0.861 0.584
Tm: 0.750 0.850 0.142
Tm: 0.750 0.405 0.126
Tm: 0.750 0.139 0.416
Tm: 0.250 0.595 0.874
Tm: 0.250 0.150 0.858
As: 0.250 0.628 0.148
As: 0.750 0.372 0.852
Pb: 0.750 0.861 0.822
Pb: 0.250 0.139 0.178
S: 0.250 0.159 0.583
S: 0.750 0.841 0.417

A plane-wave DFT calculation with PBE was carried out for a relaxed structure of AsPb2WS.

Symmetry   No. 123
VASP energy   -4.71 eV per atom
ρ   7.50 g cm⁻³
Formation energy from raw total energies   1118 meV/atom

a b c (Å): 5.735 4.745 5.735
angles (deg): 90.00 90.00 90.00
Each line ends with the local moment (μB).
Element x y z (fractional)
Pb: 0.000 0.000 0.500  0.00
Pb: 0.500 0.000 0.000  -0.04
As: 0.000 0.000 0.000  -0.03
S: 0.500 0.500 0.500  0.14
W: 0.000 0.500 0.000  2.11

A plane-wave DFT calculation with PBE was carried out for a relaxed structure of Y6As3PbS2.

Symmetry   No. 12
VASP energy   -6.91 eV per atom
ρ   5.75 g cm⁻³
Formation energy from raw total energies   -1516 meV/atom

a b c (Å): 4.088 8.324 9.204
angles (deg): 102.76 102.83 90.00
Element x y z (fractional)
Y: 0.327 0.913 0.654
Y: 0.667 0.585 0.335
Y: 0.673 0.087 0.346
Y: 0.002 0.267 0.005
Y: 0.998 0.733 0.995
Y: 0.333 0.415 0.665
As: 0.500 0.500 0.000
As: 0.834 0.169 0.669
As: 0.166 0.831 0.331
Pb: 0.500 0.000 0.000
S: 0.830 0.660 0.659
S: 0.170 0.340 0.341

A plane-wave DFT calculation with PBE was carried out for a relaxed structure of YAsPb2S.

Symmetry   No. 123
VASP energy   -3.93 eV per atom
ρ   5.03 g cm⁻³
Formation energy from raw total energies   602 meV/atom

a b c (Å): 6.145 5.341 6.145
angles (deg): 90.00 90.00 90.00
Element x y z (fractional)
Pb: 0.000 0.000 0.500
Pb: 0.500 0.000 0.000
Y: 0.000 0.000 0.000
As: 0.000 0.500 0.000
S: 0.500 0.500 0.500

A plane-wave DFT calculation with PBE was carried out for a relaxed structure of Zn2AsPbS.

Symmetry   No. 123
VASP energy   -2.12 eV per atom
ρ   5.07 g cm⁻³
Formation energy from raw total energies   883 meV/atom

a b c (Å): 5.090 5.626 5.090
angles (deg): 90.00 90.00 90.00
Element x y z (fractional)
Pb: 0.000 0.000 0.000
As: 0.000 0.500 0.000
S: 0.500 0.500 0.500
Zn: 0.000 0.000 0.500
Zn: 0.500 0.000 0.000

A plane-wave DFT calculation with PBE was carried out for a relaxed structure of SbAsPb2.

Symmetry   No. 63
VASP energy   -3.99 eV per atom
ρ   8.24 g cm⁻³
Energy relative to the lowest polymorph listed for this composition   0.000 eV per atom
Formation energy from raw total energies   55 meV/atom

a b c (Å): 4.204 4.584 12.985
angles (deg): 100.17 90.00 90.00
Element x y z (fractional)
Sb: 0.250 0.457 0.914
Sb: 0.750 0.543 0.086
As: 0.250 0.191 0.381
As: 0.750 0.809 0.619
Pb: 0.750 0.695 0.389
Pb: 0.250 0.305 0.611
Pb: 0.750 0.919 0.837
Pb: 0.250 0.081 0.163

Copy entry 12 word for word.
A plane-wave DFT calculation with PBE was carried out for a relaxed structure of SbAsPb2.

Symmetry   No. 63
VASP energy   -3.99 eV per atom
ρ   8.24 g cm⁻³
Energy relative to the lowest polymorph listed for this composition   0.000 eV per atom
Formation energy from raw total energies   55 meV/atom

a b c (Å): 4.204 4.584 12.985
angles (deg): 100.17 90.00 90.00
Element x y z (fractional)
Sb: 0.250 0.457 0.914
Sb: 0.750 0.543 0.086
As: 0.250 0.191 0.381
As: 0.750 0.809 0.619
Pb: 0.750 0.695 0.389
Pb: 0.250 0.305 0.611
Pb: 0.750 0.919 0.837
Pb: 0.250 0.081 0.163

Which value of VASP energy does entry 12 give? -3.99 eV per atom